Record 1
Entry from Alexandria: a relaxed structure of KInPb (GGA-PBE).

abc: 15.126 4.480 7.596
angles: 90.00 117.59 90.00
Element x y z (fractional)
K 0.000 0.000 0.000
K 0.166 0.500 0.684
K 0.500 0.500 0.000
K 0.666 0.000 0.684
In 0.212 0.500 0.226
In 0.323 0.000 0.115
In 0.712 0.000 0.226
In 0.823 0.500 0.115
Pb 0.334 0.000 0.558
Pb 0.451 0.500 0.443
Pb 0.834 0.500 0.558
Pb 0.951 0.000 0.443

## Properties
symmetry = Cm (8)
ΔH_f (0 K) = -13 kJ/mol of atoms

Record 2
Entry from Alexandria: a relaxed structure of BeNbSb3 (GGA-PBE).

abc: 4.842 4.842 4.842
angles: 90.00 90.00 90.00
Element x y z (fractional)
Be 0.000 0.000 0.000
Nb 0.500 0.500 0.500
Sb 0.000 0.000 0.500
Sb 0.000 0.500 0.000
Sb 0.500 0.000 0.000

## Properties
symmetry = Pm-3m (221)
raw formation energy = 4.3 eV/f.u.
energy relative to the lowest polymorph listed for this composition = 18.3 meV/atom

Record 3
Entry from Alexandria: a relaxed structure of NaThPb2Se4 (GGA-PBE).

abc: 7.587 4.216 7.708
angles: 90.00 103.96 90.00
Element x y z (fractional)
Na 0.000 0.000 0.000
Th 0.500 0.500 0.000
Pb 0.000 0.500 0.500
Pb 0.500 0.000 0.500
Se 0.264 0.500 0.249
Se 0.279 0.000 0.788
Se 0.721 0.000 0.212
Se 0.736 0.500 0.751

## Properties
symmetry = P2/m (10)
raw formation energy = -7.8 eV/f.u.

In states/eV/f.u., the Fermi-level density of states values for the records above are, in order, 1.321; 7.096; 3.088.
In Ry/atom, the E_tot values for the records above are, in order, -0.1946; -0.3209; -0.3481.
In Å³/cell, the volume values for the records above are, in order, 456.1; 113.5; 239.3.